Record 1
A plane-wave DFT calculation with PBE-GGA was carried out for a relaxed structure of CsNaTe.

The structure in CIF format:
```
data_CsNaTe
_symmetry_space_group_name_H-M 'P 4/n m m'
_symmetry_Int_Tables_number 129
_cell_length_a 5.351
_cell_length_b 5.351
_cell_length_c 8.692
_cell_angle_alpha 90.00
_cell_angle_beta 90.00
_cell_angle_gamma 90.00
loop_
_symmetry_equiv_pos_as_xyz
'x,y,z'
'-x,-y,-z'
'-y+1/2,x,z'
'y+1/2,-x,-z'
'-x+1/2,-y+1/2,z'
'x+1/2,y+1/2,-z'
'y,-x+1/2,z'
'-y,x+1/2,-z'
'x+1/2,-y,-z'
'-x+1/2,y,z'
'-y,-x,-z'
'y,x,z'
'-x,y+1/2,-z'
'x,-y+1/2,z'
'y+1/2,x+1/2,-z'
'-y+1/2,-x+1/2,z'
loop_
_atom_site_label
_atom_site_fract_x
_atom_site_fract_y
_atom_site_fract_z
Cs1 0.250 0.250 0.158
Na1 0.250 0.750 0.500
Te1 0.250 0.250 0.701
```

Calculated values
energy relative to the elements, uncorrected: -1026 meV per atom

***

Record 2
A plane-wave DFT calculation with PBE-GGA was carried out for a relaxed structure of SnMoIr3.

The structure in CIF format:
```
data_SnMoIr3
_symmetry_space_group_name_H-M 'P m -3 m'
_symmetry_Int_Tables_number 221
_symmetry_space_group_name_Hall '-P 4 2 3'
_cell_length_a 4.771
_cell_length_b 4.771
_cell_length_c 4.771
_cell_angle_alpha 90.00
_cell_angle_beta 90.00
_cell_angle_gamma 90.00
loop_
_atom_site_label
_atom_site_fract_x
_atom_site_fract_y
_atom_site_fract_z
Sn1 0.000 0.000 0.000
Mo1 0.500 0.500 0.500
Ir1 0.000 0.500 0.500
```

Calculated values
ΔE_f: 1.346 eV/atom

***

Record 3
A plane-wave DFT calculation with PBE-GGA was carried out for a relaxed structure of Ca2CuTcPt.

The structure in CIF format:
```
data_Ca2CuTcPt
_symmetry_space_group_name_H-M 'P 4/m m m'
_symmetry_Int_Tables_number 123
_symmetry_space_group_name_Hall '-P 4 2'
_cell_length_a 5.214
_cell_length_b 5.214
_cell_length_c 4.634
_cell_angle_alpha 90.00
_cell_angle_beta 90.00
_cell_angle_gamma 90.00
loop_
_atom_site_label
_atom_site_fract_x
_atom_site_fract_y
_atom_site_fract_z
Ca1 0.000 0.500 0.000
Cu1 0.000 0.000 0.000
Tc1 0.500 0.500 0.500
Pt1 0.000 0.000 0.500
```

Calculated values
ΔE_f: 0.679 eV/atom

***

Record 4
A plane-wave DFT calculation with PBE-GGA was carried out for a relaxed structure of La2Sb3Ir4Au.

The structure in CIF format:
```
data_La2Sb3Ir4Au
_symmetry_space_group_name_H-M 'P -4 m 2'
_symmetry_Int_Tables_number 115
_cell_length_a 4.396
_cell_length_b 4.396
_cell_length_c 11.245
_cell_angle_alpha 90.00
_cell_angle_beta 90.00
_cell_angle_gamma 90.00
loop_
_symmetry_equiv_pos_as_xyz
'x,y,z'
'y,-x,-z'
'-x,-y,z'
'-y,x,-z'
'-x,y,z'
'-y,-x,-z'
'x,-y,z'
'y,x,-z'
loop_
_atom_site_label
_atom_site_fract_x
_atom_site_fract_y
_atom_site_fract_z
La1 0.000 0.500 0.238
Sb1 0.000 0.000 0.000
Sb2 0.000 0.500 0.633
Ir1 0.000 0.000 0.500
Ir2 0.000 0.500 0.858
Ir3 0.500 0.500 0.500
Au1 0.500 0.500 0.000
```

Calculated values
energy relative to the elements, uncorrected: -579 meV per atom

***

Record 5
A plane-wave DFT calculation with PBE-GGA was carried out for a relaxed structure of RbSeBr2.

The structure in CIF format:
```
data_RbSeBr2
_symmetry_space_group_name_H-M 'R -3 m'
_symmetry_Int_Tables_number 166
_symmetry_space_group_name_Hall '-R 3 2"'
_cell_length_a 5.5810
_cell_length_b 5.5810
_cell_length_c 23.8235
_cell_angle_alpha 90.00
_cell_angle_beta 90.00
_cell_angle_gamma 120.00
loop_
_atom_site_label
_atom_site_fract_x
_atom_site_fract_y
_atom_site_fract_z
Rb1 0.0000 0.0000 0.0000
Se1 0.0000 0.0000 0.5000
Br1 0.0000 0.0000 0.3923
```

Calculated values
energy relative to the elements, uncorrected: -648 meV per atom

***

Record 6
A plane-wave DFT calculation with PBE-GGA was carried out for a relaxed structure of PaTlCoS3.

The structure in CIF format:
```
data_PaTlCoS3
_symmetry_space_group_name_H-M 'C m c m'
_symmetry_Int_Tables_number 63
_symmetry_space_group_name_Hall '-C 2c 2'
_cell_length_a 3.790
_cell_length_b 14.687
_cell_length_c 10.090
_cell_angle_alpha 90.00
_cell_angle_beta 90.00
_cell_angle_gamma 90.00
loop_
_atom_site_label
_atom_site_fract_x
_atom_site_fract_y
_atom_site_fract_z
Pa1 0.000 0.000 0.000
Tl1 0.000 0.252 0.250
Co1 0.000 0.470 0.750
S1 0.000 0.061 0.750
S2 0.000 0.378 0.569
```

Calculated values
energy relative to the elements, uncorrected: -1042 meV per atom

***

Record 7
A plane-wave DFT calculation with PBE-GGA was carried out for a relaxed structure of LiHfPt2.

The structure in CIF format:
```
data_LiHfPt2
_symmetry_space_group_name_H-M 'P 4/m m m'
_symmetry_Int_Tables_number 123
_symmetry_space_group_name_Hall '-P 4 2'
_cell_length_a 4.417
_cell_length_b 4.417
_cell_length_c 3.338
_cell_angle_alpha 90.00
_cell_angle_beta 90.00
_cell_angle_gamma 90.00
loop_
_atom_site_label
_atom_site_fract_x
_atom_site_fract_y
_atom_site_fract_z
Li1 0.000 0.000 0.000
Hf1 0.500 0.500 0.000
Pt1 0.000 0.500 0.500
```

Calculated values
ΔE_f: -0.876 eV/atom

***

Record 8
A plane-wave DFT calculation with PBE-GGA was carried out for a relaxed structure of InSb2IF.

The structure in CIF format:
```
data_InSb2IF
_symmetry_space_group_name_H-M 'P 4/m m m'
_symmetry_Int_Tables_number 123
_symmetry_space_group_name_Hall '-P 4 2'
_cell_length_a 5.686
_cell_length_b 5.686
_cell_length_c 5.822
_cell_angle_alpha 90.00
_cell_angle_beta 90.00
_cell_angle_gamma 90.00
loop_
_atom_site_label
_atom_site_fract_x
_atom_site_fract_y
_atom_site_fract_z
In1 0.000 0.000 0.000
Sb1 0.000 0.500 0.000
I1 0.000 0.000 0.500
F1 0.500 0.500 0.500
```

Calculated values
energy relative to the elements, uncorrected: 374 meV per atom

***

The evaluated density for the records listed, in turn: 3784, 12097, 5757, 12297, 2513, 6984, 14678, 4449 kg/m3.
The evaluated uncorrected energy for the records listed, in turn: -2.80, -6.94, -4.22, -6.67, -2.60, -6.27, -6.86, -2.51 eV/atom.